1.
Entry from the Alexandria database: crystalline NdCu2SeO2 at its relaxed geometry (PBE).

Cell: 3.669 3.669 12.154 Å, 90.00 90.00 90.00°
Element x y z (fractional)
Se (0.500, 0.500, 0.000)
Cu (0.500, 0.500, 0.179)
Cu (0.500, 0.500, 0.821)
O (0.500, 0.500, 0.324)
O (0.500, 0.500, 0.676)
Nd (0.500, 0.500, 0.500)

## Properties
space group = No. 123
formation energy from raw total energies = -0.35 eV/atom
uncorrected energy = -4.748 eV per atom
polymorph energy (0 for the lowest one) = 844.0 meV per atom

2.
Entry from the Alexandria database: crystalline LaTm3Mg at its relaxed geometry (PBE).

Cell: 3.686 6.798 12.597 Å, 86.29 90.03 74.27°
Element x y z (fractional)
Mg (0.550, 0.900, 0.624)
Mg (0.450, 0.100, 0.376)
La (0.761, 0.476, 0.243)
La (0.239, 0.524, 0.757)
Tm (0.367, 0.265, 0.022)
Tm (0.633, 0.735, 0.978)
Tm (0.964, 0.071, 0.815)
Tm (0.851, 0.299, 0.554)
Tm (0.149, 0.701, 0.446)
Tm (0.036, 0.929, 0.185)

## Properties
space group = No. 2
E_form = -0.01 eV/atom
uncorrected energy = -3.994 eV per atom
polymorph energy (0 for the lowest one) = 0.0 meV per atom

3.
Entry from the Alexandria database: crystalline Ho2AlAg2 at its relaxed geometry (PBE).

Cell: 4.424 5.836 9.926 Å, 88.01 77.12 67.72°
Element x y z (fractional)
Ag (0.359, 0.164, 0.118)
Ag (0.641, 0.836, 0.882)
Ag (0.082, 0.272, 0.564)
Ag (0.918, 0.728, 0.436)
Al (0.624, 0.097, 0.654)
Al (0.376, 0.903, 0.346)
Ho (0.082, 0.726, 0.109)
Ho (0.328, 0.680, 0.664)
Ho (0.918, 0.274, 0.891)
Ho (0.672, 0.320, 0.336)

## Properties
space group = No. 12
E_form = -0.31 eV/atom
uncorrected energy = -4.026 eV per atom
polymorph energy (0 for the lowest one) = 0.0 meV per atom

4.
Entry from the Alexandria database: crystalline Tb2PrCu2Si2 at its relaxed geometry (PBE).

Cell: 4.246 4.246 9.877 Å, 77.59 77.59 60.00°
Element x y z (fractional)
Pr (0.000, 0.000, 0.000)
Si (0.261, 0.261, 0.218)
Si (0.739, 0.739, 0.782)
Tb (0.872, 0.872, 0.383)
Tb (0.128, 0.128, 0.617)
Cu (0.595, 0.595, 0.214)
Cu (0.405, 0.405, 0.786)

## Properties
space group = No. 166
formation energy from raw total energies = -0.48 eV/atom
uncorrected energy = -5.204 eV per atom

5.
Entry from the Alexandria database: crystalline PrSc2H at its relaxed geometry (PBE).

Cell: 3.302 3.302 9.214 Å, 79.68 79.68 60.00°
Element x y z (fractional)
Sc (0.122, 0.122, 0.633)
Sc (0.878, 0.878, 0.367)
Pr (0.000, 0.000, 0.000)
H (0.500, 0.500, 0.500)

## Properties
space group = No. 166
uncorrected energy = -5.245 eV per atom

6.
Entry from the Alexandria database: crystalline GeBiPb2Se5 at its relaxed geometry (PBE).

Cell: 4.413 9.476 12.695 Å, 90.00 90.00 103.47°
Element x y z (fractional)
Se (0.488, 0.975, 0.757)
Se (0.512, 0.025, 0.257)
Se (0.294, 0.588, 0.686)
Se (0.024, 0.048, 0.010)
Se (0.706, 0.412, 0.186)
Se (0.678, 0.355, 0.867)
Se (0.322, 0.645, 0.367)
Se (0.351, 0.702, 0.019)
Se (0.649, 0.298, 0.519)
Se (0.976, 0.952, 0.510)
Ge (0.549, 0.099, 0.925)
Ge (0.451, 0.901, 0.425)
Bi (0.201, 0.401, 0.035)
Bi (0.799, 0.599, 0.535)
Pb (0.109, 0.219, 0.340)
Pb (0.133, 0.265, 0.685)
Pb (0.891, 0.781, 0.840)
Pb (0.867, 0.735, 0.185)

## Properties
space group = No. 36
formation energy from raw total energies = -0.40 eV/atom
uncorrected energy = -4.107 eV per atom

7.
Entry from the Alexandria database: crystalline BaI3F at its relaxed geometry (PBE).

Cell: 5.537 5.537 5.537 Å, 90.00 90.00 90.00°
Site moments in Bohr magnetons follow the coordinates.
Element x y z (fractional)
I (0.000, 0.500, 0.000)  0.29
I (0.000, 0.000, 0.500)  0.35
I (0.500, 0.000, 0.000)  0.16
F (0.000, 0.000, 0.000)  0.34
Ba (0.500, 0.500, 0.500)  -0.01

## Properties
space group = No. 221
formation energy from raw total energies = -0.97 eV/atom
uncorrected energy = -2.662 eV per atom
polymorph energy (0 for the lowest one) = 0.0 meV per atom

8.
Entry from the Alexandria database: crystalline VHRh2 at its relaxed geometry (PBE).

Cell: 2.749 2.749 6.901 Å, 78.51 78.51 60.00°
Element x y z (fractional)
H (0.663, 0.663, 0.012)
Rh (0.065, 0.065, 0.806)
Rh (0.272, 0.272, 0.184)
V (0.501, 0.501, 0.498)

## Properties
space group = No. 160
uncorrected energy = -6.999 eV per atom
polymorph energy (0 for the lowest one) = 72.3 meV per atom

9.
Entry from the Alexandria database: crystalline Tb2YIn3Te6 at its relaxed geometry (PBE).

Cell: 7.658 7.658 8.504 Å, 98.63 98.63 120.00°
Element x y z (fractional)
Te (0.927, 0.594, 0.780)
Te (0.594, 0.927, 0.780)
Te (0.073, 0.406, 0.220)
Te (0.741, 0.741, 0.220)
Te (0.259, 0.259, 0.780)
Te (0.406, 0.073, 0.220)
In (0.500, 0.500, 0.500)
In (0.167, 0.833, 0.500)
In (0.833, 0.167, 0.500)
Tb (0.667, 0.333, 0.000)
Tb (0.333, 0.667, 0.000)
Y (0.000, 0.000, 0.000)

## Properties
space group = No. 12
formation energy from raw total energies = -0.98 eV/atom
uncorrected energy = -4.546 eV per atom

10.
Entry from the Alexandria database: crystalline AcPrHo14 at its relaxed geometry (PBE).

Cell: 7.268 7.268 11.340 Å, 90.00 90.00 119.82°
Element x y z (fractional)
Ho (0.335, 0.665, 0.255)
Ho (0.666, 0.832, 0.000)
Ho (0.831, 0.666, 0.743)
Ho (0.167, 0.833, 0.500)
Ho (0.334, 0.169, 0.257)
Ho (0.834, 0.166, 0.748)
Ho (0.831, 0.666, 0.257)
Ho (0.334, 0.169, 0.743)
Ho (0.667, 0.834, 0.500)
Ho (0.168, 0.334, 0.000)
Ho (0.335, 0.665, 0.745)
Ho (0.667, 0.333, 0.500)
Ho (0.166, 0.333, 0.500)
Ho (0.834, 0.166, 0.252)
Ac (0.165, 0.835, 0.000)
Pr (0.665, 0.335, 0.000)

## Properties
space group = No. 38
E_form = 0.02 eV/atom
uncorrected energy = -4.539 eV per atom

11.
Entry from the Alexandria database: crystalline NaHg2Te2 at its relaxed geometry (PBE).

Cell: 8.422 8.422 4.134 Å, 90.00 90.00 90.00°
Element x y z (fractional)
Te (0.322, 0.822, 0.000)
Te (0.178, 0.322, 0.000)
Te (0.822, 0.678, 0.000)
Te (0.678, 0.178, 0.000)
Na (0.000, 0.000, 0.000)
Na (0.500, 0.500, 0.000)
Hg (0.633, 0.867, 0.500)
Hg (0.133, 0.633, 0.500)
Hg (0.367, 0.133, 0.500)
Hg (0.867, 0.367, 0.500)

## Properties
space group = No. 127
formation energy from raw total energies = -0.20 eV/atom
uncorrected energy = -1.837 eV per atom
polymorph energy (0 for the lowest one) = 53.0 meV per atom

12.
Entry from the Alexandria database: crystalline K3In4Hg4 at its relaxed geometry (PBE).

Cell: 7.942 7.942 7.942 Å, 109.47 109.47 109.47°
Element x y z (fractional)
In (0.000, 0.000, 0.255)
In (0.745, 0.745, 0.745)
In (0.255, 0.000, 0.000)
In (0.000, 0.255, 0.000)
K (0.500, 0.000, 0.500)
K (0.500, 0.500, 0.000)
K (0.000, 0.500, 0.500)
Hg (0.000, 0.618, 0.000)
Hg (0.618, 0.000, 0.000)
Hg (0.382, 0.382, 0.382)
Hg (0.000, 0.000, 0.618)

## Properties
space group = No. 217
E_form = -0.16 eV/atom
uncorrected energy = -1.567 eV per atom

13.
Entry from the Alexandria database: crystalline Ba6GeAu3 at its relaxed geometry (PBE).

Cell: 4.859 13.294 13.870 Å, 109.26 90.00 90.00°
Element x y z (fractional)
Ba (0.750, 0.474, 0.613)
Ba (0.250, 0.186, 0.240)
Ba (0.250, 0.601, 0.935)
Ba (0.250, 0.894, 0.548)
Ba (0.750, 0.749, 0.282)
Ba (0.750, 0.399, 0.065)
Ba (0.750, 0.106, 0.452)
Ba (0.250, 0.081, 0.894)
Ba (0.250, 0.251, 0.718)
Ba (0.250, 0.526, 0.387)
Ba (0.750, 0.919, 0.106)
Ba (0.750, 0.814, 0.760)
Au (0.750, 0.153, 0.073)
Au (0.750, 0.687, 0.506)
Au (0.250, 0.313, 0.494)
Au (0.250, 0.572, 0.167)
Au (0.750, 0.428, 0.833)
Au (0.250, 0.847, 0.927)
Ge (0.750, 0.050, 0.698)
Ge (0.250, 0.950, 0.302)

## Properties
space group = No. 11
E_form = -0.54 eV/atom
uncorrected energy = -3.140 eV per atom

14.
Entry from the Alexandria database: crystalline BePN3 at its relaxed geometry (PBE).

Cell: 3.421 3.421 3.421 Å, 90.00 90.00 90.00°
Element x y z (fractional)
N (0.000, 0.500, 0.000)
N (0.000, 0.000, 0.500)
N (0.500, 0.000, 0.000)
P (0.000, 0.000, 0.000)
Be (0.500, 0.500, 0.500)

## Properties
space group = No. 221
formation energy from raw total energies = 1.07 eV/atom
uncorrected energy = -5.752 eV per atom

15.
Entry from the Alexandria database: crystalline ZrAg3Pt at its relaxed geometry (PBE).

Cell: 5.004 5.004 5.004 Å, 90.00 90.00 90.00°
Site moments in Bohr magnetons follow the coordinates.
Element x y z (fractional)
Ag (0.000, 0.000, 0.500)  0.00
Ag (0.000, 0.500, 0.000)  0.02
Ag (0.500, 0.000, 0.000)  0.02
Pt (0.000, 0.000, 0.000)  0.12
Zr (0.500, 0.500, 0.500)  1.07

## Properties
space group = No. 221
E_form = 0.90 eV/atom
uncorrected energy = -3.729 eV per atom
polymorph energy (0 for the lowest one) = 0.0 meV per atom

16.
Entry from the Alexandria database: crystalline BeIn at its relaxed geometry (PBE).

Cell: 7.043 7.043 7.043 Å, 90.00 90.00 90.00°
Element x y z (fractional)
Be (0.500, 0.000, 0.250)
Be (0.000, 0.750, 0.500)
Be (0.250, 0.500, 0.000)
Be (0.750, 0.500, 0.000)
Be (0.500, 0.000, 0.750)
Be (0.000, 0.250, 0.500)
In (0.000, 0.500, 0.250)
In (0.000, 0.500, 0.750)
In (0.500, 0.250, 0.000)
In (0.250, 0.000, 0.500)
In (0.750, 0.000, 0.500)
In (0.500, 0.750, 0.000)

## Properties
space group = No. 223
E_form = 1.01 eV/atom
uncorrected energy = -2.222 eV per atom
polymorph energy (0 for the lowest one) = 724.6 meV per atom

17.
Entry from the Alexandria database: crystalline GeBiAs2 at its relaxed geometry (PBE).

Cell: 3.615 3.615 9.257 Å, 78.74 78.74 60.00°
Element x y z (fractional)
As (0.890, 0.890, 0.329)
As (0.110, 0.110, 0.671)
Bi (0.000, 0.000, 0.000)
Ge (0.500, 0.500, 0.500)

## Properties
space group = No. 166
E_form = 0.25 eV/atom
uncorrected energy = -4.197 eV per atom
polymorph energy (0 for the lowest one) = 177.7 meV per atom

18.
Entry from the Alexandria database: crystalline Be2AlRe at its relaxed geometry (PBE).

Cell: 6.278 6.278 5.086 Å, 51.89 51.89 90.00°
Element x y z (fractional)
Be (0.127, 0.625, 0.250)
Be (0.875, 0.873, 0.750)
Be (0.623, 0.125, 0.250)
Be (0.375, 0.377, 0.750)
Re (0.750, 0.250, 0.500)
Re (0.000, 0.000, 0.000)
Al (0.500, 0.500, 0.000)
Al (0.250, 0.750, 0.500)

## Properties
space group = No. 122
E_form = 0.37 eV/atom
uncorrected energy = -5.543 eV per atom

19.
Entry from the Alexandria database: crystalline Ba3NdRe2N6 at its relaxed geometry (PBE).

Cell: 6.375 6.375 7.379 Å, 90.00 90.00 120.00°
Element x y z (fractional)
N (0.172, 0.828, 0.287)
N (0.828, 0.172, 0.713)
N (0.344, 0.172, 0.713)
N (0.656, 0.828, 0.287)
N (0.172, 0.344, 0.287)
N (0.828, 0.656, 0.713)
Ba (0.667, 0.333, 0.284)
Ba (0.000, 0.000, 0.000)
Ba (0.333, 0.667, 0.716)
Re (0.667, 0.333, 0.761)
Re (0.333, 0.667, 0.239)
Nd (0.000, 0.000, 0.500)

## Properties
space group = No. 164
formation energy from raw total energies = -0.75 eV/atom
uncorrected energy = -7.865 eV per atom

20.
Entry from the Alexandria database: crystalline LaBe2Os at its relaxed geometry (PBE).

Cell: 3.974 3.969 4.325 Å, 90.00 90.00 90.00°
Element x y z (fractional)
Be (0.000, 0.000, 0.000)
Be (0.500, 0.500, 0.000)
La (0.500, 0.000, 0.500)
Os (0.000, 0.500, 0.500)

## Properties
space group = No. 123
E_form = 0.68 eV/atom
uncorrected energy = -5.226 eV per atom
polymorph energy (0 for the lowest one) = 815.0 meV per atom

21.
Entry from the Alexandria database: crystalline La5Tm12Th2 at its relaxed geometry (PBE).

Cell: 6.172 13.841 11.228 Å, 136.91 100.66 94.47°
Element x y z (fractional)
La (0.729, 0.526, 0.448)
La (0.844, 0.316, 0.869)
La (0.156, 0.684, 0.131)
La (0.271, 0.474, 0.552)
La (0.000, 0.000, 0.500)
Tm (0.216, 0.584, 0.346)
Tm (0.633, 0.738, 0.023)
Tm (0.318, 0.368, 0.764)
Tm (0.682, 0.632, 0.236)
Tm (0.942, 0.103, 0.285)
Tm (0.107, 0.797, 0.926)
Tm (0.784, 0.416, 0.654)
Tm (0.529, 0.946, 0.609)
Tm (0.058, 0.897, 0.715)
Tm (0.893, 0.203, 0.074)
Tm (0.471, 0.054, 0.391)
Tm (0.367, 0.262, 0.977)
Th (0.426, 0.154, 0.180)
Th (0.574, 0.846, 0.820)

## Properties
space group = No. 2
E_form = 0.04 eV/atom
uncorrected energy = -4.865 eV per atom

22.
Entry from the Alexandria database: crystalline Cs2TlCl4 at its relaxed geometry (PBE).

Cell: 5.532 5.532 9.663 Å, 73.37 73.37 90.00°
Element x y z (fractional)
Cl (0.162, 0.162, 0.675)
Cl (0.000, 0.500, 0.000)
Cl (0.500, 0.000, 0.000)
Cl (0.838, 0.838, 0.325)
Tl (0.000, 0.000, 0.000)
Cs (0.357, 0.357, 0.286)
Cs (0.643, 0.643, 0.714)

## Properties
space group = No. 139
formation energy from raw total energies = -1.48 eV/atom
uncorrected energy = -3.122 eV per atom

23.
Entry from the Alexandria database: crystalline SrTi2As2 at its relaxed geometry (PBE).

Cell: 4.109 4.109 7.107 Å, 73.20 73.20 90.00°
Element x y z (fractional)
As (0.371, 0.371, 0.257)
As (0.629, 0.629, 0.743)
Ti (0.750, 0.250, 0.500)
Ti (0.250, 0.750, 0.500)
Sr (0.000, 0.000, 0.000)

## Properties
space group = No. 139
E_form = -0.90 eV/atom
uncorrected energy = -6.251 eV per atom
polymorph energy (0 for the lowest one) = 0.0 meV per atom